No. 1
Compound: AlFeCoAu
Source: the Open Quantum Materials Database
Functional: PBE
Structure: relaxed

```
AlFeCoAu
1.0
0.000 3.018 3.018
3.018 0.000 3.018
3.018 3.018 0.000
Al Fe Co Au
1 1 1 1
Cartesian
0.000 0.000 0.000 Al
3.018 3.018 3.018 Fe
1.509 1.509 1.509 Co
4.528 4.528 4.528 Au
```

Results
Volume   55 Å³/f.u.
Uncorrected energy   -5.702 eV/atom
Symmetry   F-43m

No. 2
Compound: Gd4Y4B3
Source: the Open Quantum Materials Database
Functional: PBE
Structure: relaxed

```
Gd4Y4B3
1.0
3.763 0.000 0.000
-0.721 5.080 0.000
-1.742 -1.236 14.622
Gd Y B
4 4 3
Cartesian
-0.264 0.972 2.487 Gd
0.131 0.226 10.012 Gd
1.169 3.618 4.609 Gd
1.565 2.872 12.134 Gd
-0.454 1.054 6.247 Y
1.147 3.699 1.042 Y
0.154 0.144 13.579 Y
1.755 2.790 8.374 Y
0.000 0.000 0.000 B
-0.027 3.814 6.912 B
1.328 0.030 7.710 B
```

Results
Volume   280 Å³/f.u.
Uncorrected energy   -5.796 eV/atom
Symmetry   P-1

No. 3
Compound: Zr5In3Cu
Source: the Open Quantum Materials Database
Functional: PBE
Structure: relaxed

```
Zr5In3Cu
1.0
8.726 0.000 0.000
-4.363 7.557 0.000
0.000 0.000 5.905
Zr In Cu
10 6 2
Cartesian
-1.167 2.022 1.476 Zr
-3.195 5.535 4.428 Zr
2.335 0.000 1.476 Zr
1.167 2.022 4.428 Zr
0.000 5.038 0.000 Zr
0.000 5.038 2.952 Zr
4.363 2.519 0.000 Zr
4.363 2.519 2.952 Zr
6.391 0.000 4.428 Zr
3.195 5.535 1.476 Zr
-1.661 2.877 4.428 In
-2.702 4.679 1.476 In
3.322 0.000 4.428 In
1.661 2.877 1.476 In
5.403 0.000 1.476 In
2.702 4.679 4.428 In
0.000 0.000 0.000 Cu
0.000 0.000 2.952 Cu
```

Results
Volume   195 Å³/f.u.
Uncorrected energy   -6.320 eV/atom
Symmetry   P6_3/mcm

What is the formula in the first record?
AlFeCoAu